La2PrTh3Bi6 | GGA-PBE | optimized geometry

Cell: 10.3838 10.3838 9.2781 Å, 103.14 103.14 25.79°
Last column: nearest neighbours and their distance in Å.
Sites, in units of the cell vectors:
La 0.1661 0.1661 0.3324  6 Bi 3.30-3.31
La 0.8339 0.8339 0.6676  6 Bi 3.30-3.31
Pr 0.5000 0.5000 0.0000  6 Bi 3.29
Th 0.1669 0.1669 0.8343  6 Bi 3.25-3.27
Th 0.5000 0.5000 0.5000  6 Bi 3.26
Th 0.8331 0.8331 0.1657  6 Bi 3.25-3.27
Bi 0.0015 0.0015 0.7484  3 Th 3.26, 2 Pr 3.29, 1 La 3.30
Bi 0.3328 0.3328 0.9196  3 Th 3.25-3.27, 1 Pr 3.29, 2 La 3.30
Bi 0.3344 0.3344 0.4135  3 Th 3.26, 3 La 3.31
Bi 0.6656 0.6656 0.5865  3 Th 3.26, 3 La 3.31
Bi 0.6672 0.6672 0.0804  3 Th 3.25-3.27, 1 Pr 3.29, 2 La 3.30
Bi 0.9985 0.9985 0.2516  3 Th 3.26, 2 Pr 3.29, 1 La 3.30

Output
Electronic total energy in Ry per atom: -0.4280
Space group: C2/m, No. 12
Size of the total moment in μB per atom: 0.00
ΔH_f (0 K) in eV per atom: -0.808
DOS(E_F) in states/eV per cell: 6.88